This record from the Open Quantum Materials Database describes a relaxed Zn4SO3 crystal. The functional is PBE.

VASP energy: -4.23 eV/atom
energy above the most stable polymorph in this dataset: 0.00 kJ per mole of atoms

a = 5.818 Å, b = 5.818 Å, c = 5.818 Å
α = 131.12°, β = 131.12°, γ = 71.61°
Element x y z (fractional)
Zn (0.140, 0.140, 0.552)
Zn (0.587, 0.587, 0.448)
O (0.750, 0.250, 0.500)
Zn (0.413, 0.860, 0.000)
O (0.250, 0.750, 0.500)
Zn (0.860, 0.413, 0.000)
S (0.000, 0.000, 0.000)
O (0.500, 0.500, 0.000)

---

This record from the Open Quantum Materials Database describes a relaxed BaScTeAuS2 crystal. The functional is PBE.

VASP energy: -5.10 eV/atom

a = 7.720 Å, b = 7.720 Å, c = 10.751 Å
α = 90.00°, β = 90.00°, γ = 149.56°
Element x y z (fractional)
Te (0.899, 0.101, 0.750)
S (0.387, 0.613, 0.054)
S (0.613, 0.387, 0.554)
Ba (0.788, 0.212, 0.250)
Au (0.475, 0.525, 0.250)
S (0.613, 0.387, 0.946)
Sc (0.000, 0.000, 0.500)
Sc (0.000, 0.000, 0.000)
Au (0.525, 0.475, 0.750)
Ba (0.212, 0.788, 0.750)
S (0.387, 0.613, 0.446)
Te (0.101, 0.899, 0.250)

---

This record from the Open Quantum Materials Database describes a relaxed Nd2AsIBr crystal. The functional is PBE.

VASP energy: -5.09 eV/atom

a = 4.261 Å, b = 4.261 Å, c = 10.812 Å
α = 90.00°, β = 90.00°, γ = 120.00°
Element x y z (fractional)
Nd (0.667, 0.333, 0.844)
As (0.000, 0.000, 0.995)
Nd (0.333, 0.667, 0.146)
I (0.667, 0.333, 0.340)
Br (0.333, 0.667, 0.676)

---

This record from the Open Quantum Materials Database describes a relaxed CuAg4 crystal. The functional is PBE.

VASP energy: -2.95 eV/atom
energy above the most stable polymorph in this dataset: 2.73 kJ per mole of atoms
energy relative to the elements: 0.05 eV per atom

a = 7.643 Å, b = 7.643 Å, c = 7.993 Å
α = 105.12°, β = 105.12°, γ = 21.78°
Element x y z (fractional)
Ag (0.604, 0.604, 0.066)
Ag (0.005, 0.005, 0.752)
Ag (0.995, 0.995, 0.248)
Ag (0.605, 0.605, 0.538)
Cu (0.795, 0.795, 0.638)
Ag (0.203, 0.203, 0.843)
Ag (0.396, 0.396, 0.934)
Cu (0.205, 0.205, 0.362)
Ag (0.395, 0.395, 0.462)
Ag (0.797, 0.797, 0.157)

---

This record from the Open Quantum Materials Database describes a relaxed TaCdPtAu crystal. The functional is PBE.

VASP energy: -5.46 eV/atom
energy above the most stable polymorph in this dataset: 21.34 kJ per mole of atoms
energy relative to the elements: 0.06 eV per atom

a = 4.622 Å, b = 4.622 Å, c = 4.622 Å
α = 60.00°, β = 60.00°, γ = 60.00°
Element x y z (fractional)
Pt (0.500, 0.500, 0.500)
Cd (0.250, 0.250, 0.250)
Ta (0.000, 0.000, 0.000)
Au (0.750, 0.750, 0.750)

---

This record from the Open Quantum Materials Database describes a relaxed Er2MgCu2 crystal. The functional is PBE.

VASP energy: -3.88 eV/atom

a = 7.547 Å, b = 7.547 Å, c = 3.683 Å
α = 90.00°, β = 90.00°, γ = 90.00°
Element x y z (fractional)
Er (0.169, 0.669, 0.500)
Mg (0.000, 0.000, 0.000)
Cu (0.376, 0.876, 0.000)
Cu (0.624, 0.124, 0.000)
Cu (0.124, 0.376, 0.000)
Er (0.331, 0.169, 0.500)
Er (0.669, 0.831, 0.500)
Mg (0.500, 0.500, 0.000)
Er (0.831, 0.331, 0.500)
Cu (0.876, 0.624, 0.000)

---

This record from the Open Quantum Materials Database describes a relaxed RbScFeTe3 crystal. The functional is PBE.

VASP energy: -4.78 eV/atom

a = 9.438 Å, b = 9.438 Å, c = 9.424 Å
α = 101.20°, β = 101.20°, γ = 26.82°
Site moments in Bohr magnetons follow the coordinates.
Element x y z (fractional)
Te (0.657, 0.657, 0.770)  0.06
Rb (0.849, 0.849, 0.937)  0.01
Te (0.335, 0.335, 0.636)  0.04
Te (0.343, 0.343, 0.230)  0.06
Te (0.000, 0.000, 0.500)  0.11
Sc (0.829, 0.829, 0.425)  0.06
Rb (0.151, 0.151, 0.063)  0.01
Fe (0.504, 0.504, 0.715)  3.31
Sc (0.171, 0.171, 0.575)  0.06
Te (0.500, 0.500, 0.000)  0.21
Te (0.665, 0.665, 0.364)  0.04
Fe (0.496, 0.496, 0.285)  3.31

---

This record from the Open Quantum Materials Database describes a relaxed PaCo crystal. The functional is PBE.

VASP energy: -7.70 eV/atom
energy relative to the elements: 0.60 eV per atom

a = 3.283 Å, b = 3.283 Å, c = 3.821 Å
α = 90.00°, β = 90.00°, γ = 120.00°
Site moments in Bohr magnetons follow the coordinates.
Element x y z (fractional)
Co (0.667, 0.333, 0.750)  -0.60
Pa (0.333, 0.667, 0.250)  -0.29

---

This record from the Open Quantum Materials Database describes a relaxed Ba2CoGe crystal. The functional is PBE.

VASP energy: -3.55 eV/atom

a = 5.350 Å, b = 5.350 Å, c = 5.350 Å
α = 60.00°, β = 60.00°, γ = 60.00°
Element x y z (fractional)
Ba (0.750, 0.750, 0.750)
Ba (0.000, 0.000, 0.000)
Co (0.250, 0.250, 0.250)
Ge (0.500, 0.500, 0.500)

---

This record from the Open Quantum Materials Database describes a relaxed AlCdNiPd crystal. The functional is PBE.

VASP energy: -4.23 eV/atom

a = 4.393 Å, b = 4.393 Å, c = 4.393 Å
α = 60.00°, β = 60.00°, γ = 60.00°
Element x y z (fractional)
Cd (0.500, 0.500, 0.500)
Pd (0.250, 0.250, 0.250)
Al (0.000, 0.000, 0.000)
Ni (0.750, 0.750, 0.750)

---

This record from the Open Quantum Materials Database describes a relaxed LiGeAu3Se4 crystal. The functional is PBE.

VASP energy: -3.52 eV/atom
energy above the most stable polymorph in this dataset: 0.00 kJ per mole of atoms

a = 5.732 Å, b = 8.205 Å, c = 9.094 Å
α = 90.00°, β = 93.74°, γ = 90.00°
Element x y z (fractional)
Au (0.759, 0.074, 0.554)
Se (0.490, 0.995, 0.231)
Au (0.759, 0.426, 0.554)
Se (0.157, 0.250, 0.039)
Li (0.229, 0.750, 0.820)
Se (0.045, 0.250, 0.421)
Se (0.510, 0.005, 0.769)
Se (0.510, 0.495, 0.769)
Au (0.183, 0.750, 0.158)
Au (0.241, 0.574, 0.446)
Ge (0.740, 0.750, 0.217)
Ge (0.260, 0.250, 0.783)
Se (0.955, 0.750, 0.579)
Se (0.490, 0.505, 0.231)
Au (0.241, 0.926, 0.446)
Se (0.843, 0.750, 0.961)
Au (0.817, 0.250, 0.842)
Li (0.771, 0.250, 0.180)

---

This record from the Open Quantum Materials Database describes a relaxed HfScOs2 crystal. The functional is PBE.

VASP energy: -10.24 eV/atom
energy above the most stable polymorph in this dataset: 0.03 kJ per mole of atoms
energy relative to the elements: -0.56 eV per atom

a = 6.449 Å, b = 4.560 Å, c = 9.120 Å
α = 90.00°, β = 90.00°, γ = 90.00°
Element x y z (fractional)
Hf (0.250, 0.750, 0.875)
Os (0.500, 0.750, 0.125)
Os (0.000, 0.750, 0.125)
Hf (0.750, 0.250, 0.625)
Os (0.500, 0.750, 0.625)
Sc (0.750, 0.750, 0.375)
Sc (0.250, 0.250, 0.125)
Hf (0.750, 0.250, 0.125)
Os (0.500, 0.250, 0.375)
Sc (0.250, 0.250, 0.625)
Os (0.000, 0.250, 0.875)
Hf (0.250, 0.750, 0.375)
Os (0.500, 0.250, 0.875)
Os (0.000, 0.250, 0.375)
Sc (0.750, 0.750, 0.875)
Os (0.000, 0.750, 0.625)

---

This record from the Open Quantum Materials Database describes a relaxed Y4AlFe4 crystal. The functional is PBE.

VASP energy: -7.09 eV/atom

a = 5.495 Å, b = 5.495 Å, c = 8.790 Å
α = 108.06°, β = 108.06°, γ = 44.82°
Site moments in Bohr magnetons follow the coordinates.
Element x y z (fractional)
Fe (0.082, 0.082, 0.619)  0.93
Y (0.743, 0.743, 0.838)  -0.13
Y (0.388, 0.388, 0.612)  -0.16
Fe (0.965, 0.965, 0.147)  1.41
Fe (0.035, 0.035, 0.853)  1.41
Fe (0.918, 0.918, 0.381)  0.93
Al (0.500, 0.500, 0.000)  -0.04
Y (0.612, 0.612, 0.388)  -0.16
Y (0.257, 0.257, 0.162)  -0.13

---

This record from the Open Quantum Materials Database describes a relaxed W3Cl2 crystal. The functional is PBE.

VASP energy: -7.32 eV/atom

a = 7.265 Å, b = 7.265 Å, c = 5.411 Å
α = 132.17°, β = 47.83°, γ = 120.00°
Element x y z (fractional)
W (0.909, 0.409, 0.250)
Cl (0.375, 0.625, 0.875)
Cl (0.875, 0.125, 0.375)
W (0.750, 0.909, 0.750)
Cl (0.125, 0.875, 0.625)
W (0.250, 0.091, 0.250)
Cl (0.625, 0.375, 0.125)
W (0.409, 0.250, 0.750)
W (0.091, 0.591, 0.750)
W (0.591, 0.750, 0.250)

---

This record from the Open Quantum Materials Database describes a relaxed SmTlHgTe3 crystal. The functional is PBE.

VASP energy: -3.54 eV/atom
energy above the most stable polymorph in this dataset: 0.12 kJ per mole of atoms

a = 8.047 Å, b = 8.047 Å, c = 11.714 Å
α = 90.00°, β = 90.00°, γ = 147.77°
Element x y z (fractional)
Hg (0.963, 0.037, 0.750)
Tl (0.740, 0.260, 0.250)
Te (0.859, 0.141, 0.551)
Te (0.416, 0.584, 0.250)
Tl (0.260, 0.740, 0.750)
Hg (0.037, 0.963, 0.250)
Te (0.584, 0.416, 0.750)
Te (0.859, 0.141, 0.949)
Te (0.141, 0.859, 0.051)
Sm (0.500, 0.500, 0.000)
Te (0.141, 0.859, 0.449)
Sm (0.500, 0.500, 0.500)

---

This record from the Open Quantum Materials Database describes a relaxed HfNb2Bi crystal. The functional is PBE.

VASP energy: -8.34 eV/atom

a = 4.875 Å, b = 4.875 Å, c = 4.875 Å
α = 60.00°, β = 60.00°, γ = 60.00°
Element x y z (fractional)
Hf (0.250, 0.250, 0.250)
Bi (0.500, 0.500, 0.500)
Nb (0.000, 0.000, 0.000)
Nb (0.750, 0.750, 0.750)

---

This record from the Open Quantum Materials Database describes a relaxed GdYB2Ir2N2 crystal. The functional is PBE.

VASP energy: -8.50 eV/atom

a = 3.751 Å, b = 3.751 Å, c = 7.475 Å
α = 90.00°, β = 90.00°, γ = 90.00°
Element x y z (fractional)
N (0.500, 0.500, 0.855)
Ir (0.000, 0.500, 0.500)
Gd (0.500, 0.500, 0.163)
N (0.000, 0.000, 0.143)
B (0.500, 0.500, 0.656)
Y (0.000, 0.000, 0.838)
B (0.000, 0.000, 0.344)
Ir (0.500, 0.000, 0.500)

---

This record from the Open Quantum Materials Database describes a relaxed DyScBe2Ge2 crystal. The functional is PBE.

VASP energy: -5.24 eV/atom

a = 3.871 Å, b = 3.871 Å, c = 7.752 Å
α = 90.00°, β = 90.00°, γ = 120.00°
Element x y z (fractional)
Be (0.667, 0.333, 0.237)
Be (0.333, 0.667, 0.763)
Ge (0.333, 0.667, 0.237)
Sc (0.000, 0.000, 0.000)
Dy (0.000, 0.000, 0.500)
Ge (0.667, 0.333, 0.763)

---

This record from the Open Quantum Materials Database describes a relaxed CoCuW4N2 crystal. The functional is PBE.

VASP energy: -9.72 eV/atom

a = 2.801 Å, b = 2.801 Å, c = 14.537 Å
α = 90.00°, β = 90.00°, γ = 120.00°
Element x y z (fractional)
W (0.667, 0.333, 0.146)
Co (0.000, 0.000, 0.000)
W (0.000, 0.000, 0.347)
Cu (0.667, 0.333, 0.500)
W (0.667, 0.333, 0.854)
N (0.333, 0.667, 0.753)
W (0.000, 0.000, 0.653)
N (0.333, 0.667, 0.247)

---

This record from the Open Quantum Materials Database describes a relaxed DySc2PbC crystal. The functional is PBE.

VASP energy: -6.65 eV/atom

a = 4.597 Å, b = 4.597 Å, c = 4.875 Å
α = 90.00°, β = 90.00°, γ = 90.00°
Element x y z (fractional)
C (0.500, 0.500, 0.500)
Pb (0.000, 0.000, 0.000)
Dy (0.500, 0.500, 0.000)
Sc (0.500, 0.000, 0.500)
Sc (0.000, 0.500, 0.500)